No. 1
This record from Alexandria via LeMat-Bulk describes crystalline SrCa7Ti3Mn5O24 at its relaxed geometry. The functional is GGA-PBEsol.

Values from the calculation:
The value obtained for the raw formation energy is -2.63 eV/atom.

abc: 7.4646 7.5535 7.5539
angles: 89.50 90.05 90.04
With the nearest neighbours (Å) after each atom.
Fractional positions:
O: 0.0420 0.2512 0.0007  2 Ti 1.90-1.91
Mn: 0.5012 0.4992 0.0022  6 O 1.86-1.94
Mn: 0.5012 0.0022 0.4992  6 O 1.86-1.94
O: 0.9586 0.7500 0.0008  2 Ti 1.92
O: 0.9607 0.4988 0.2547  1 Mn 1.87, 1 Ti 1.93
Ca: 0.2521 0.7536 0.2554  5 O 2.33-2.44
O: 0.7447 0.4589 0.9670  1 Mn 1.86, 1 Ti 1.94
O: 0.0325 0.4948 0.7450  1 Mn 1.87, 1 Ti 1.95
Ti: 0.9986 0.0018 0.0017  6 O 1.91-1.95
O: 0.2563 0.0363 0.5389  1 Mn 1.87, 1 Ti 1.97
Ti: 0.9984 0.4993 0.0014  6 O 1.90-1.97
O: 0.7447 0.9670 0.4588  1 Mn 1.86, 1 Ti 1.94
Ti: 0.9984 0.0014 0.4993  6 O 1.90-1.97
O: 0.5452 0.2494 0.4964  2 Mn 1.90-1.92
O: 0.5467 0.9990 0.7493  2 Mn 1.92-1.94
O: 0.5468 0.7493 0.9992  2 Mn 1.92-1.94
O: 0.0326 0.7450 0.4939  1 Mn 1.87, 1 Ti 1.95
O: 0.7441 0.0408 0.0406  1 Mn 1.86, 1 Ti 1.95
Sr: 0.2558 0.7469 0.7467  5 O 2.39-2.53
O: 0.4527 0.2503 0.0000  2 Mn 1.91
Ca: 0.7474 0.2558 0.2560  5 O 2.31-2.43
O: 0.2514 0.4613 0.4616  2 Mn 1.90-1.94
O: 0.2563 0.5389 0.0363  1 Mn 1.87, 1 Ti 1.97
Ca: 0.7474 0.7545 0.7547  5 O 2.31-2.44
O: 0.9587 0.0000 0.7500  2 Ti 1.92
Ca: 0.2520 0.2557 0.7532  5 O 2.33-2.44
Ca: 0.7444 0.2509 0.7429  5 O 2.32-2.48
O: 0.2557 0.9692 0.9695  1 Mn 1.86, 1 Ti 1.95
O: 0.4640 0.4897 0.7477  2 Mn 1.90-1.94
O: 0.4639 0.7477 0.4895  2 Mn 1.90-1.94
Mn: 0.5005 0.0026 0.0026  6 O 1.86-1.94
Ca: 0.7445 0.7426 0.2511  5 O 2.32-2.48
Mn: 0.4997 0.4990 0.4990  6 O 1.90-1.92
Ca: 0.2540 0.2457 0.2454  5 O 2.32-2.43
O: 0.4528 0.0003 0.2503  2 Mn 1.91
O: 0.7486 0.5391 0.5388  2 Mn 1.91
O: 0.5451 0.4961 0.2494  2 Mn 1.90-1.92
Mn: 0.9978 0.4997 0.4997  6 O 1.87-1.94
O: 0.9606 0.2547 0.4997  1 Mn 1.87, 1 Ti 1.93
O: 0.0419 0.0016 0.2512  2 Ti 1.90-1.91

No. 2
This record from Alexandria via LeMat-Bulk describes crystalline K3RuF6 at its relaxed geometry. The functional is GGA-PBEsol.

Values from the calculation:
The value obtained for the raw formation energy is -2.33 eV/atom. The value obtained for the density of states at the Fermi level is 10.95 states/eV/f.u.

abc: 6.2506 6.2506 6.2506
angles: 60.00 60.00 60.00
With the nearest neighbours (Å) after each atom.
Fractional positions:
K: 0.0000 0.0000 0.0000  6 F 2.43
F: 0.2754 0.7246 0.2754  1 Ru 1.99
F: 0.2754 0.7246 0.7246  1 Ru 1.99
K: 0.2500 0.2500 0.2500  12 F 3.13
Ru: 0.5000 0.5000 0.5000  6 F 1.99
F: 0.7246 0.2754 0.7246  1 Ru 1.99
F: 0.7246 0.7246 0.2754  1 Ru 1.99
F: 0.2754 0.2754 0.7246  1 Ru 1.99
K: 0.7500 0.7500 0.7500  12 F 3.13
F: 0.7246 0.2754 0.2754  1 Ru 1.99

No. 3
This record from Alexandria via LeMat-Bulk describes crystalline ScZn2Hg at its relaxed geometry. The functional is GGA-PBEsol.

Values from the calculation:
The energy of formation is -242 meV per atom. The value obtained for the density of states at the Fermi level is 2.57 states/eV/f.u.

abc: 3.0852 4.4947 5.2719
angles: 90.00 90.06 90.00
With the nearest neighbours (Å) after each atom.
Fractional positions:
Sc: 0.0000 0.5000 0.5000  8 Zn 2.99, 4 Hg 3.05-3.06, 2 Sc 3.09
Zn: 0.5009 0.0000 0.7326  1 Zn 2.45, 2 Hg 2.65
Zn: 0.4991 0.0000 0.2674  1 Zn 2.45, 2 Hg 2.65
Hg: 0.5000 0.5000 0.0000  4 Zn 2.65

No. 4
This record from Alexandria via LeMat-Bulk describes crystalline Nd4Er11S22 at its relaxed geometry. The functional is GGA-PBEsol.

Values from the calculation:
The value obtained for the raw formation energy is -2.14 eV/atom. The value obtained for the density of states at the Fermi level is 2.39 states/eV/f.u.

abc: 3.8764 11.1853 19.3182
angles: 91.70 95.76 90.00
With the nearest neighbours (Å) after each atom.
Fractional positions:
Er: 0.5384 0.7308 0.0769  6 S 2.61-2.72
Er: 0.2022 0.9408 0.4044  7 S 2.66-2.84
S: 0.1360 0.4522 0.2721  3 Er 2.69-2.73, 2 Nd 2.94
S: 0.2797 0.5909 0.5594  4 Er 2.65-2.71
Er: 0.7354 0.6475 0.4707  6 S 2.62-2.71
S: 0.4527 0.0293 0.9054  3 Er 2.68-2.70, 2 Nd 2.96
S: 0.8311 0.8508 0.6622  3 Er 2.61-2.69, 1 Nd 2.87
S: 0.3503 0.0945 0.7006  2 Er 2.82, 3 Nd 2.88-2.93
S: 0.0084 0.2400 0.0167  4 Er 2.67-2.71
S: 0.1880 0.6905 0.3760  3 Er 2.71-2.84, 2 Nd 2.92
S: 0.8120 0.3095 0.6240  3 Er 2.71-2.84, 2 Nd 2.92
S: 0.6497 0.9055 0.2994  2 Er 2.82, 3 Nd 2.88-2.93
S: 0.8640 0.5478 0.7279  3 Er 2.69-2.73, 2 Nd 2.94
Nd: 0.8952 0.9880 0.7905  8 S 2.87-2.99
S: 0.4071 0.7900 0.8141  3 Er 2.68-2.71, 2 Nd 2.99
Er: 0.7978 0.0592 0.5956  7 S 2.66-2.84
Er: 0.6582 0.3002 0.3164  6 S 2.61-2.73
S: 0.5585 0.5099 0.1171  3 Er 2.61-2.63
S: 0.2544 0.1201 0.5088  4 Er 2.62-2.79
S: 0.7456 0.8799 0.4912  4 Er 2.62-2.79
Er: 0.0000 0.0000 0.0000  6 S 2.68-2.69
Nd: 0.3680 0.3512 0.7360  8 S 2.86-3.18
S: 0.9123 0.2445 0.8245  2 Er 2.72, 3 Nd 2.86-2.92
S: 0.4415 0.4901 0.8829  3 Er 2.61-2.63
Er: 0.3418 0.6998 0.6836  6 S 2.61-2.73
S: 0.5473 0.9707 0.0946  3 Er 2.68-2.70, 2 Nd 2.96
S: 0.0877 0.7555 0.1755  2 Er 2.72, 3 Nd 2.86-2.92
S: 0.7203 0.4091 0.4406  4 Er 2.65-2.71
S: 0.5929 0.2100 0.1859  3 Er 2.68-2.71, 2 Nd 2.99
Nd: 0.1048 0.0120 0.2095  8 S 2.87-2.99
S: 0.9916 0.7600 0.9833  4 Er 2.67-2.71
Er: 0.2646 0.3525 0.5293  6 S 2.62-2.71
Er: 0.4616 0.2692 0.9231  6 S 2.61-2.72
Er: 0.9292 0.6414 0.8585  6 S 2.63-2.71
Er: 0.0708 0.3586 0.1415  6 S 2.63-2.71
S: 0.1689 0.1492 0.3378  3 Er 2.61-2.69, 1 Nd 2.87
Nd: 0.6320 0.6488 0.2640  8 S 2.86-3.18

No. 5
This record from Alexandria via LeMat-Bulk describes crystalline LuTaRu2 at its relaxed geometry. The functional is GGA-PBEsol.

Values from the calculation:
The energy of formation is -484 meV per atom. The value obtained for the density of states at the Fermi level is 0.51 states/eV/f.u.

abc: 4.5155 4.5155 4.5155
angles: 60.00 60.00 60.00
With the nearest neighbours (Å) after each atom.
Fractional positions:
Ta: 0.0000 0.0000 0.0000  8 Ru 2.77
Ru: 0.2500 0.2500 0.2500  4 Ta 2.77, 4 Lu 2.77
Lu: 0.5000 0.5000 0.5000  8 Ru 2.77
Ru: 0.7500 0.7500 0.7500  4 Lu 2.77, 4 Ta 2.77

No. 6
This record from Alexandria via LeMat-Bulk describes crystalline ZnFe2Sb at its relaxed geometry. The functional is GGA-PBEsol.

Values from the calculation:
The value obtained for the raw formation energy is 0.13 eV/atom. The value obtained for the density of states at the Fermi level is 4.87 states/eV/f.u.

abc: 4.1692 4.1692 4.1692
angles: 60.00 60.00 60.00
With the nearest neighbours (Å) after each atom.
Fractional positions:
Zn: 0.5000 0.5000 0.5000  8 Fe 2.55
Fe: 0.7500 0.7500 0.7500  4 Sb 2.55, 4 Zn 2.55
Sb: 0.0000 0.0000 0.0000  8 Fe 2.55
Fe: 0.2500 0.2500 0.2500  4 Sb 2.55, 4 Zn 2.55

No. 7
This record from Alexandria via LeMat-Bulk describes crystalline BRu3C at its relaxed geometry. The functional is GGA-PBEsol.

Values from the calculation:
The energy of formation is 1491 meV per atom. The value obtained for the density of states at the Fermi level is 4.84 states/eV/f.u.

abc: 3.9428 3.9428 3.9428
angles: 90.00 90.00 90.00
With the nearest neighbours (Å) after each atom.
Fractional positions:
B: 0.0000 0.0000 0.0000  6 Ru 1.97
C: 0.5000 0.5000 0.5000  12 Ru 2.79
Ru: 0.5000 0.0000 0.0000  2 B 1.97
Ru: 0.0000 0.5000 0.0000  2 B 1.97
Ru: 0.0000 0.0000 0.5000  2 B 1.97

No. 8
This record from Alexandria via LeMat-Bulk describes crystalline CaSi4NiO10 at its relaxed geometry. The functional is GGA-PBEsol.

Values from the calculation:
The value obtained for the raw formation energy is -2.60 eV/atom.

abc: 7.2110 7.2110 15.2724
angles: 90.00 90.00 90.00
With the nearest neighbours (Å) after each atom.
Fractional positions:
O: 0.2413 0.0402 0.3758  2 Si 1.64-1.65
O: 0.5402 0.2587 0.3758  2 Si 1.64-1.65
O: 0.7413 0.5402 0.6242  2 Si 1.64-1.65
O: 0.7139 0.7139 0.2500  2 Si 1.62
Si: 0.1828 0.2513 0.6468  4 O 1.61-1.65
O: 0.7139 0.2861 0.7500  2 Si 1.62
O: 0.2861 0.7139 0.7500  2 Si 1.62
O: 0.5402 0.7413 0.8758  2 Si 1.64-1.65
O: 0.2413 0.9598 0.8758  2 Si 1.64-1.65
Si: 0.1828 0.7487 0.1468  4 O 1.61-1.65
O: 0.0402 0.2413 0.1242  2 Si 1.64-1.65
O: 0.7861 0.7861 0.7500  2 Si 1.62
O: 0.9598 0.7587 0.1242  2 Si 1.64-1.65
O: 0.9040 0.7373 0.9186  1 Si 1.61
O: 0.0960 0.2627 0.9186  1 Si 1.61
Ca: 0.5000 0.5000 0.5000  8 O 2.37-2.59
Si: 0.2513 0.8172 0.3532  4 O 1.61-1.65
Ca: 0.0000 0.0000 0.0000  8 O 2.37-2.59
Si: 0.7513 0.6828 0.1468  4 O 1.61-1.65
Si: 0.2487 0.6828 0.6468  4 O 1.61-1.65
O: 0.4040 0.2373 0.0814  1 Si 1.61
O: 0.2139 0.7861 0.2500  2 Si 1.62
O: 0.7373 0.9040 0.5814  1 Si 1.61
Si: 0.7487 0.1828 0.3532  4 O 1.61-1.65
O: 0.7587 0.0402 0.8758  2 Si 1.64-1.65
O: 0.7627 0.5960 0.4186  1 Si 1.61
Si: 0.7487 0.8172 0.8532  4 O 1.61-1.65
Ni: 0.0000 0.5000 0.9169  4 O 1.85
O: 0.2587 0.4598 0.6242  2 Si 1.64-1.65
Si: 0.6828 0.2487 0.8532  4 O 1.61-1.65
O: 0.0402 0.7587 0.6242  2 Si 1.64-1.65
O: 0.5960 0.2373 0.5814  1 Si 1.61
Si: 0.8172 0.2513 0.1468  4 O 1.61-1.65
O: 0.2373 0.5960 0.9186  1 Si 1.61
Si: 0.2487 0.3172 0.1468  4 O 1.61-1.65
O: 0.7627 0.4040 0.9186  1 Si 1.61
Si: 0.3172 0.2487 0.3532  4 O 1.61-1.65
O: 0.5960 0.7627 0.0814  1 Si 1.61
O: 0.2587 0.5402 0.1242  2 Si 1.64-1.65
Ni: 0.0000 0.5000 0.4169  4 O 1.85
Si: 0.2513 0.1828 0.8532  4 O 1.61-1.65
O: 0.2139 0.2139 0.7500  2 Si 1.62
Si: 0.7513 0.3172 0.6468  4 O 1.61-1.65
Ca: 0.5000 0.5000 0.0000  8 O 2.37-2.59
O: 0.4040 0.7627 0.5814  1 Si 1.61
O: 0.2373 0.4040 0.4186  1 Si 1.61
O: 0.4598 0.2587 0.8758  2 Si 1.64-1.65
O: 0.7861 0.2139 0.2500  2 Si 1.62
Si: 0.6828 0.7513 0.3532  4 O 1.61-1.65
O: 0.9040 0.2627 0.4186  1 Si 1.61
Si: 0.3172 0.7513 0.8532  4 O 1.61-1.65
O: 0.2627 0.9040 0.0814  1 Si 1.61
Ni: 0.5000 0.0000 0.5831  4 O 1.85
O: 0.2861 0.2861 0.2500  2 Si 1.62
O: 0.2627 0.0960 0.5814  1 Si 1.61
O: 0.4598 0.7413 0.3758  2 Si 1.64-1.65
O: 0.7373 0.0960 0.0814  1 Si 1.61
O: 0.7413 0.4598 0.1242  2 Si 1.64-1.65
O: 0.7587 0.9598 0.3758  2 Si 1.64-1.65
Ca: 0.0000 0.0000 0.5000  8 O 2.37-2.59
O: 0.9598 0.2413 0.6242  2 Si 1.64-1.65
O: 0.0960 0.7373 0.4186  1 Si 1.61
Ni: 0.5000 0.0000 0.0831  4 O 1.85
Si: 0.8172 0.7487 0.6468  4 O 1.61-1.65

Calculated magnetization in order - 14.999 1.000 0.000 0.000 0.000 0.007 0.006 0.126 μB/f.u.